Record 1
Below is a geometry-optimized Y3NiRu structure, with properties calculated at the PBE level.

* excess energy over the best structure of this formula in the dataset: 0.5558 eV/atom
* total magnetization: 0.000 μB/cell
* calculated formation energy: 0.24 eV/atom

Cell and atoms, written as POSCAR:
```
Y3NiRu
1.0
-0.934 5.129 0.741
-2.741 0.150 -4.493
-4.397 -1.183 2.643
Y Ni Ru
3 1 1
Direct
0.500 0.000 0.000 Y
0.000 0.000 0.500 Y
0.000 0.500 0.000 Y
0.500 0.500 0.500 Ni
0.000 0.000 0.000 Ru
```

Record 2
Below is a geometry-optimized CoBiBAs2 structure, with properties calculated at the PBE level.

* total magnetization: 0.000 μB/cell
* calculated formation energy: 0.48 eV/atom

Cell and atoms, written as POSCAR:
```
CoBiBAs2
1.0
-0.202 -4.680 -1.359
2.435 0.713 -2.819
3.734 -1.023 2.967
B Co As Bi
1 1 2 1
Direct
0.000 0.500 0.000 B
0.000 0.000 0.000 Co
0.500 0.000 0.000 As
0.000 0.000 0.500 As
0.500 0.500 0.500 Bi
```

Record 3
Below is a geometry-optimized ReAg2SnO structure, with properties calculated at the PBE level.

* total magnetization: 3.503 μB/cell

Cell and atoms, written as POSCAR:
```
ReAg2SnO
1.0
-4.445 2.682 -0.874
-1.910 -3.393 -0.696
-1.222 -0.360 5.108
Ag Re O Sn
2 1 1 1
Direct
0.000 0.000 0.500 Ag
0.500 0.000 0.000 Ag
0.500 0.500 0.500 Re
0.000 0.500 0.000 O
0.000 0.000 0.000 Sn
```

Record 4
Below is a geometry-optimized ThCu6Pt6 structure, with properties calculated at the PBE level.

* total magnetization: 0.000 μB/cell
* calculated formation energy: -0.42 eV/atom

Cell and atoms, written as POSCAR:
```
ThCu6Pt6
1.0
5.091 0.000 0.000
2.545 6.209 -0.158
2.545 -0.009 6.211
Pt Cu Th
6 6 1
Direct
0.000 0.657 0.343 Pt
0.340 0.660 0.660 Pt
0.660 0.340 0.340 Pt
0.000 0.343 0.657 Pt
0.702 0.798 0.798 Pt
0.298 0.202 0.202 Pt
0.500 0.000 0.500 Cu
0.000 0.000 0.500 Cu
0.000 0.500 0.000 Cu
0.500 0.500 0.000 Cu
0.500 0.765 0.235 Cu
0.500 0.235 0.765 Cu
0.000 0.000 0.000 Th
```

Record 5
Below is a geometry-optimized InSnBrF4 structure, with properties calculated at the PBE level.

* total magnetization: 0.000 μB/cell

Cell and atoms, written as POSCAR:
```
InSnBrF4
1.0
-6.081 -1.728 2.367
-4.273 -1.683 -4.948
-1.406 -7.921 -0.397
Br F Sn In
2 8 2 2
Direct
0.920 0.920 0.355 Br
0.080 0.080 0.645 Br
0.522 0.522 0.176 F
0.072 0.469 0.194 F
0.469 0.072 0.194 F
0.626 0.626 0.447 F
0.531 0.928 0.806 F
0.374 0.374 0.553 F
0.928 0.531 0.806 F
0.478 0.478 0.824 F
0.263 0.263 0.854 Sn
0.737 0.737 0.146 Sn
0.312 0.312 0.340 In
0.688 0.688 0.660 In
```

Record 6
Below is a geometry-optimized Pm5Al2Sn structure, with properties calculated at the PBE level.

* total magnetization: 0.004 μB/cell
* calculated formation energy: -0.42 eV/atom

Cell and atoms, written as POSCAR:
```
Pm5Al2Sn
1.0
8.171 0.000 0.000
0.000 8.171 0.000
-4.085 -4.085 7.026
Pm Al Sn
10 4 2
Direct
0.523 0.682 0.704 Pm
0.818 0.977 0.296 Pm
0.977 0.477 0.296 Pm
0.023 0.523 0.704 Pm
0.318 0.818 0.296 Pm
0.477 0.318 0.296 Pm
0.000 0.000 0.000 Pm
0.182 0.023 0.704 Pm
0.500 0.500 0.000 Pm
0.682 0.182 0.704 Pm
0.881 0.619 0.000 Al
0.619 0.119 0.000 Al
0.381 0.881 0.000 Al
0.119 0.381 0.000 Al
0.750 0.750 0.500 Sn
0.250 0.250 0.500 Sn
```

Record 7
Below is a geometry-optimized TaNiOs2 structure, with properties calculated at the PBE level.

* total magnetization: 0.000 μB/cell
* calculated formation energy: -0.03 eV/atom

Cell and atoms, written as POSCAR:
```
TaNiOs2
1.0
4.741 -0.004 0.004
3.888 2.712 0.004
0.871 0.273 4.531
Ni Os Ta
1 2 1
Direct
0.747 0.747 0.747 Ni
0.255 0.255 0.222 Os
0.000 0.000 0.014 Os
0.498 0.498 0.518 Ta
```

Record 8
Below is a geometry-optimized Mn2IrRu structure, with properties calculated at the PBE level.

* total magnetization: 2.335 μB/cell
* calculated formation energy: -0.02 eV/atom

Cell and atoms, written as POSCAR:
```
Mn2IrRu
1.0
-0.549 4.452 -0.480
-4.082 -1.920 -0.075
-0.172 0.263 2.632
Ru Mn Ir
1 2 1
Direct
0.500 0.000 0.500 Ru
0.000 0.000 0.000 Mn
0.500 0.500 0.000 Mn
0.000 0.500 0.500 Ir
```

For the records above, the corresponding theoretical density values read 4.9; 7.9; 8.1; 15.1; 4.3; 6.4; 17.7; 13.0 g cm⁻³.
For the records above, the corresponding calculated total energy values read -33.23; -24.55; -21.06; -73.64; -59.93; -77.20; -40.21; -36.57 eV for the cell shown.